No. 1
Entry from Alexandria via LeMat-Bulk: a geometry-optimized TbHo3H structure (PBE).

Computed properties:
**SG**: Pm-3m, No. 221
**DOS at the Fermi energy**: 0.92 states/eV/atom
**E_tot**: -4.506 eV/atom

a = 4.966 Å, b = 4.966 Å, c = 4.966 Å
α = 90.00°, β = 90.00°, γ = 90.00°
Atoms (fractional coordinates):
Tb (0.000, 0.000, 0.000)
Ho (0.000, 0.500, 0.500)
Ho (0.500, 0.000, 0.500)
Ho (0.500, 0.500, 0.000)
H (0.500, 0.500, 0.500)



No. 2
Entry from Alexandria via LeMat-Bulk: a geometry-optimized ScTa2W structure (PBE).

Computed properties:
**SG**: Pmm2, No. 25
**DOS at the Fermi energy**: 0.91 states/eV/atom
**E_tot**: -10.476 eV/atom

a = 2.755 Å, b = 4.707 Å, c = 5.703 Å
α = 90.00°, β = 90.00°, γ = 90.00°
Atoms (fractional coordinates):
Sc (0.000, 0.000, 0.000)
Ta (0.000, 0.000, 0.507)
Ta (0.500, 0.500, 0.251)
W (0.500, 0.500, 0.749)



No. 3
Entry from Alexandria via LeMat-Bulk: a geometry-optimized Tb3Sm3HoS8 structure (PBE).

Computed properties:
**Formation energy (no corrections)**: -2.0600 eV/atom
**SG**: R-3m, No. 166
**DOS at the Fermi energy**: 0.45 states/eV/atom
**E_tot**: -6.436 eV/atom

a = 7.928 Å, b = 7.928 Å, c = 7.928 Å
α = 59.74°, β = 59.74°, γ = 59.74°
Atoms (fractional coordinates):
Tb (0.000, 0.500, 0.500)
Tb (0.500, 0.000, 0.500)
Tb (0.500, 0.500, 0.000)
Sm (0.000, 0.000, 0.500)
Sm (0.000, 0.500, 0.000)
Sm (0.500, 0.000, 0.000)
Ho (0.000, 0.000, 0.000)
S (0.247, 0.247, 0.748)
S (0.247, 0.748, 0.247)
S (0.252, 0.252, 0.252)
S (0.252, 0.753, 0.753)
S (0.748, 0.247, 0.247)
S (0.748, 0.748, 0.748)
S (0.753, 0.252, 0.753)
S (0.753, 0.753, 0.252)



No. 4
Entry from Alexandria via LeMat-Bulk: a geometry-optimized Ac4Nd2Tm structure (PBE).

Computed properties:
**SG**: Fdd2, No. 43
**DOS at the Fermi energy**: 1.73 states/eV/atom
**E_tot**: -4.105 eV/atom

a = 12.112 Å, b = 7.696 Å, c = 11.291 Å
α = 76.69°, β = 38.19°, γ = 65.12°
Atoms (fractional coordinates):
Ac (0.190, 0.275, 0.971)
Ac (0.222, 0.778, 0.454)
Ac (0.275, 0.190, 0.564)
Ac (0.279, 0.686, 0.060)
Ac (0.686, 0.279, 0.975)
Ac (0.704, 0.796, 0.472)
Ac (0.778, 0.222, 0.546)
Ac (0.796, 0.704, 0.028)
Nd (0.345, 0.641, 0.687)
Nd (0.563, 0.923, 0.905)
Nd (0.641, 0.345, 0.327)
Nd (0.923, 0.563, 0.609)
Tm (0.236, 0.236, 0.264)
Tm (0.986, 0.986, 0.014)



No. 5
Entry from Alexandria via LeMat-Bulk: a geometry-optimized BaH2OsBr structure (PBE).

Computed properties:
**SG**: P4/mmm, No. 123
**DOS at the Fermi energy**: 0.48 states/eV/atom
**E_tot**: -4.148 eV/atom

a = 4.224 Å, b = 4.224 Å, c = 5.003 Å
α = 90.00°, β = 90.00°, γ = 90.00°
Atoms (fractional coordinates):
Ba (0.000, 0.000, 0.000)
H (0.000, 0.500, 0.500)
H (0.500, 0.000, 0.500)
Os (0.500, 0.500, 0.500)
Br (0.500, 0.500, 0.000)



No. 6
Entry from Alexandria via LeMat-Bulk: a geometry-optimized ZrMn2Cd structure (PBE).

Computed properties:
**SG**: Imm2, No. 44
**DOS at the Fermi energy**: 0.90 states/eV/atom
**E_tot**: -6.759 eV/atom

a = 5.541 Å, b = 5.541 Å, c = 5.541 Å
α = 146.82°, β = 132.26°, γ = 59.38°
Atoms (fractional coordinates):
Zr (0.000, 0.000, 0.000)
Mn (0.525, 0.525, 0.000)
Mn (0.721, 0.221, 0.500)
Cd (0.277, 0.777, 0.500)



No. 7
Entry from Alexandria via LeMat-Bulk: a geometry-optimized Ba2MgCuAs structure (PBE).

Computed properties:
**SG**: P4/mmm, No. 123
**DOS at the Fermi energy**: 1.18 states/eV/atom
**E_tot**: -3.082 eV/atom

a = 6.480 Å, b = 6.480 Å, c = 4.543 Å
α = 90.00°, β = 90.00°, γ = 90.00°
Atoms (fractional coordinates):
Ba (0.000, 0.500, 0.000)
Ba (0.500, 0.000, 0.000)
Mg (0.000, 0.000, 0.500)
Cu (0.500, 0.500, 0.500)
As (0.500, 0.500, 0.000)



No. 8
Entry from Alexandria via LeMat-Bulk: a geometry-optimized TbTmZn structure (PBE).

Computed properties:
**SG**: P3m1, No. 156
**DOS at the Fermi energy**: 1.01 states/eV/atom
**E_tot**: -3.512 eV/atom

a = 4.969 Å, b = 4.969 Å, c = 3.617 Å
α = 90.00°, β = 90.00°, γ = 120.00°
Atoms (fractional coordinates):
Tb (0.000, 0.000, 0.000)
Tm (0.333, 0.667, 0.465)
Zn (0.667, 0.333, 0.682)



No. 9
Entry from Alexandria via LeMat-Bulk: a geometry-optimized Tb4Np3S8 structure (PBE).

Computed properties:
**Formation energy (no corrections)**: -1.7750 eV/atom
**SG**: C2/m, No. 12
**DOS at the Fermi energy**: 1.77 states/eV/atom
**E_tot**: -7.799 eV/atom

a = 7.831 Å, b = 7.831 Å, c = 7.829 Å
α = 119.94°, β = 119.94°, γ = 90.04°
Atoms (fractional coordinates):
Tb (0.000, 0.000, 0.000)
Tb (0.000, 0.000, 0.500)
Tb (0.000, 0.500, 0.000)
Tb (0.500, 0.000, 0.000)
Np (0.000, 0.500, 0.500)
Np (0.500, 0.000, 0.500)
Np (0.500, 0.500, 0.500)
S (0.250, 0.250, 0.998)
S (0.251, 0.251, 0.500)
S (0.251, 0.749, 0.000)
S (0.251, 0.749, 0.500)
S (0.749, 0.251, 0.000)
S (0.749, 0.251, 0.500)
S (0.749, 0.749, 0.500)
S (0.750, 0.750, 0.002)



No. 10
Entry from Alexandria via LeMat-Bulk: a geometry-optimized ZrMn2Si structure (PBE).

Computed properties:
**Formation energy (no corrections)**: -0.1620 eV/atom
**SG**: Imm2, No. 44
**DOS at the Fermi energy**: 0.64 states/eV/atom
**E_tot**: -8.240 eV/atom

a = 5.055 Å, b = 5.055 Å, c = 5.055 Å
α = 143.39°, β = 131.73°, γ = 62.08°
Atoms (fractional coordinates):
Zr (0.000, 0.000, 0.000)
Mn (0.500, 0.500, 0.000)
Mn (0.739, 0.239, 0.500)
Si (0.273, 0.773, 0.500)



No. 11
Entry from Alexandria via LeMat-Bulk: a geometry-optimized FeReRh4 structure (PBE).

Computed properties:
**SG**: F-43m, No. 216
**DOS at the Fermi energy**: 1.37 states/eV/atom
**E_tot**: -7.933 eV/atom

a = 5.023 Å, b = 5.023 Å, c = 5.023 Å
α = 60.00°, β = 60.00°, γ = 60.00°
Atoms (fractional coordinates):
Fe (0.000, 0.000, 0.000)
Re (0.750, 0.750, 0.750)
Rh (0.375, 0.375, 0.375)
Rh (0.375, 0.375, 0.875)
Rh (0.375, 0.875, 0.375)
Rh (0.875, 0.375, 0.375)



No. 12
Entry from Alexandria via LeMat-Bulk: a geometry-optimized UHgPdI6 structure (PBE).

Computed properties:
**Formation energy (no corrections)**: -0.4967 eV/atom
**SG**: P1, No. 1
**DOS at the Fermi energy**: 0.41 states/eV/atom
**E_tot**: -3.395 eV/atom

a = 7.010 Å, b = 8.230 Å, c = 8.253 Å
α = 88.72°, β = 65.59°, γ = 84.74°
Atoms (fractional coordinates):
U (0.000, 0.000, 0.000)
Hg (0.298, 0.502, 0.422)
Pd (0.556, 0.999, 0.885)
I (0.035, 0.188, 0.279)
I (0.335, 0.177, 0.725)
I (0.337, 0.735, 0.966)
I (0.693, 0.265, 0.973)
I (0.695, 0.815, 0.273)
I (0.934, 0.820, 0.721)



No. 13
Entry from Alexandria via LeMat-Bulk: a geometry-optimized Tm2ScPb structure (PBE).

Computed properties:
**SG**: F-43m, No. 216
**DOS at the Fermi energy**: 1.46 states/eV/atom
**E_tot**: -4.807 eV/atom

a = 5.302 Å, b = 5.302 Å, c = 5.302 Å
α = 60.00°, β = 60.00°, γ = 60.00°
Atoms (fractional coordinates):
Tm (0.000, 0.000, 0.000)
Tm (0.250, 0.250, 0.250)
Sc (0.500, 0.500, 0.500)
Pb (0.750, 0.750, 0.750)